This record from Alexandria via LeMat-Bulk describes a relaxed LaCeUO6 crystal. The functional is PBE-GGA.

Summary:
Space-group type: P-31c (163)
Final energy (eV/atom): -9.05
Uncorrected formation energy (eV per formula unit): -29.6
Total moment (μB/atom): 0.111

abc: 6.0278 6.0278 9.2940
angles: 90.00 90.00 120.00
Closest atoms and distances in Å follow each position.
Element x y z (fractional)
La: 0.3333 0.6667 0.2500  6 O 2.43
La: 0.6667 0.3333 0.7500  6 O 2.43
Ce: 0.0000 0.0000 0.0000  6 O 2.39
Ce: 0.0000 0.0000 0.5000  6 O 2.39
U: 0.3333 0.6667 0.7500  6 O 2.13
U: 0.6667 0.3333 0.2500  6 O 2.13
O: 0.0377 0.3588 0.6313  1 U 2.13
O: 0.0377 0.6789 0.8687  1 U 2.13
O: 0.3211 0.3588 0.8687  1 U 2.13
O: 0.3211 0.9623 0.6313  1 U 2.13
O: 0.3588 0.0377 0.1313  1 U 2.13
O: 0.3588 0.3211 0.3687  1 U 2.13
O: 0.6412 0.6789 0.6313  1 U 2.13
O: 0.6412 0.9623 0.8687  1 U 2.13
O: 0.6789 0.0377 0.3687  1 U 2.13
O: 0.6789 0.6412 0.1313  1 U 2.13
O: 0.9623 0.3211 0.1313  1 U 2.13
O: 0.9623 0.6412 0.3687  1 U 2.13